1.
Here is a relaxed LiMo2P crystal from the Alexandria database. Energies are from PBE.

Unit cell a=4.651 b=4.651 c=4.651 alpha=132.06 beta=132.06 gamma=70.14
Fractional positions:
P 0.250 0.750 0.500
Mo 0.500 0.500 0.000
Li 0.750 0.250 0.500
Mo 0.000 0.000 0.000

Output
Energy of formation ... 77.2 meV per atom
Symmetry ... I4/mmm (139)

2.
Here is a relaxed LiMoP2 crystal from the Alexandria database. Energies are from PBE.

Unit cell a=2.608 b=2.608 c=9.860 alpha=90.00 beta=90.00 gamma=101.75
Fractional positions:
P 0.000 0.000 0.944
Mo 0.500 0.500 0.749
P 0.500 0.500 0.305
Li 0.000 0.000 0.503

Output
Energy of formation ... 206.9 meV per atom
Symmetry ... Cmm2 (35)

3.
Here is a relaxed Li2MoP crystal from the Alexandria database. Energies are from PBE.

Unit cell a=4.396 b=4.396 c=4.396 alpha=128.98 beta=128.98 gamma=75.04
Fractional positions:
P 0.750 0.250 0.500
Li 0.000 0.000 0.000
Li 0.250 0.750 0.500
Mo 0.500 0.500 0.000

Output
Energy of formation ... -93.5 meV per atom
Symmetry ... I-4m2 (119)

4.
Here is a relaxed Li2MoP crystal from the Alexandria database. Energies are from PBE.

Unit cell a=5.287 b=5.287 c=2.686 alpha=79.44 beta=79.44 gamma=125.77
Fractional positions:
Li 0.000 0.000 0.000
Li 0.500 0.500 0.000
Mo 0.500 0.000 0.500
P 0.000 0.500 0.500

Output
Energy of formation ... -59.1 meV per atom
Symmetry ... C2/m (12)

5.
Here is a relaxed LiMoP2 crystal from the Alexandria database. Energies are from PBE.

Unit cell a=6.774 b=6.774 c=6.774 alpha=153.95 beta=151.52 gamma=38.97
Fractional positions:
P 0.941 0.941 0.000
Li 0.549 0.549 0.000
P 0.215 0.715 0.500
Mo 0.796 0.296 0.500

Output
Energy of formation ... -344.4 meV per atom
Symmetry ... Imm2 (44)

6.
Here is a relaxed LiMoP2 crystal from the Alexandria database. Energies are from PBE.

Unit cell a=5.776 b=5.776 c=6.706 alpha=64.49 beta=64.49 gamma=90.00
Site moments in Bohr magnetons follow the coordinates.
Fractional positions:
Mo 0.750 0.250 0.500  0.80
P 0.662 0.125 0.250  -0.02
Li 0.250 0.750 0.500  0.01
Mo 0.000 0.000 0.000  0.80
P 0.875 0.912 0.750  -0.03
Li 0.500 0.500 0.000  0.01
P 0.088 0.625 0.250  -0.02
P 0.375 0.338 0.750  -0.03

Output
Energy of formation ... -18.2 meV per atom
Symmetry ... I-42d (122)

7.
Here is a relaxed LiMo4P crystal from the Alexandria database. Energies are from PBE.

Unit cell a=5.208 b=5.208 c=5.208 alpha=60.00 beta=60.00 gamma=60.00
Fractional positions:
Mo 0.374 0.879 0.374
P 0.750 0.750 0.750
Mo 0.374 0.374 0.879
Li 0.000 0.000 0.000
Mo 0.374 0.374 0.374
Mo 0.879 0.374 0.374

Output
Energy of formation ... 671.8 meV per atom
Symmetry ... F-43m (216)

8.
Here is a relaxed LiMo2P crystal from the Alexandria database. Energies are from PBE.

Unit cell a=8.769 b=8.769 c=8.769 alpha=18.85 beta=18.85 gamma=18.85
Fractional positions:
Mo 0.989 0.989 0.989
Li 0.750 0.750 0.750
P 0.250 0.250 0.250
Mo 0.511 0.511 0.511

Output
Energy of formation ... 218.8 meV per atom
Symmetry ... R-3m (166)

9.
Here is a relaxed LiMoPRh crystal from the Alexandria database. Energies are from PBE.

Unit cell a=4.139 b=4.139 c=4.139 alpha=60.00 beta=60.00 gamma=60.00
Fractional positions:
Li 0.500 0.500 0.500
P 0.000 0.000 0.000
Rh 0.750 0.750 0.750
Mo 0.250 0.250 0.250

Output
Energy of formation ... -284.5 meV per atom
Symmetry ... F-43m (216)

10.
Here is a relaxed LiMo2PRu crystal from the Alexandria database. Energies are from PBE.

Unit cell a=4.658 b=4.288 c=4.658 alpha=90.00 beta=90.00 gamma=90.00
Fractional positions:
Ru 0.000 0.000 0.000
Li 0.000 0.500 0.000
Mo 0.000 0.000 0.500
Mo 0.500 0.000 0.000
P 0.500 0.500 0.500

Output
Energy of formation ... 1336.0 meV per atom
Symmetry ... P4/mmm (123)

11.
Here is a relaxed LiMoP2S crystal from the Alexandria database. Energies are from PBE.

Unit cell a=4.697 b=4.697 c=4.811 alpha=90.00 beta=90.00 gamma=90.00
Fractional positions:
P 0.000 0.500 0.000
Mo 0.000 0.000 0.000
S 0.000 0.000 0.500
P 0.500 0.000 0.000
Li 0.500 0.500 0.500

Output
Formation energy from raw total energies ... 0.08 eV per atom
Symmetry ... P4/mmm (123)

12.
Here is a relaxed LiMoPS2 crystal from the Alexandria database. Energies are from PBE.

Unit cell a=4.293 b=4.293 c=4.176 alpha=90.00 beta=90.00 gamma=90.00
Fractional positions:
S 0.000 0.500 0.000
Li 0.000 0.000 0.000
S 0.500 0.000 0.000
P 0.000 0.000 0.500
Mo 0.500 0.500 0.500

Output
Formation energy from raw total energies ... 0.88 eV per atom
Symmetry ... P4/mmm (123)

13.
Here is a relaxed LiMoPS2 crystal from the Alexandria database. Energies are from PBE.

Unit cell a=4.753 b=4.753 c=4.698 alpha=90.00 beta=90.00 gamma=90.00
Fractional positions:
P 0.000 0.000 0.500
Li 0.500 0.500 0.500
S 0.000 0.500 0.000
Mo 0.000 0.000 0.000
S 0.500 0.000 0.000

Output
Formation energy from raw total energies ... -0.10 eV per atom
Symmetry ... P4/mmm (123)

14.
Here is a relaxed LiMoP2S crystal from the Alexandria database. Energies are from PBE.

Unit cell a=4.218 b=4.218 c=4.268 alpha=90.00 beta=90.00 gamma=90.00
Fractional positions:
Li 0.000 0.000 0.000
P 0.000 0.500 0.000
Mo 0.500 0.500 0.500
P 0.500 0.000 0.000
S 0.000 0.000 0.500

Output
Formation energy from raw total energies ... 0.98 eV per atom
Symmetry ... P4/mmm (123)

15.
Here is a relaxed LiSc2MoP crystal from the Alexandria database. Energies are from PBE.

Unit cell a=4.952 b=4.514 c=4.952 alpha=90.00 beta=90.00 gamma=90.00
Site moments in Bohr magnetons follow the coordinates.
Fractional positions:
P 0.000 0.000 0.000  -0.02
Sc 0.500 0.000 0.000  0.07
Li 0.500 0.500 0.500  -0.01
Mo 0.000 0.500 0.000  0.71
Sc 0.000 0.000 0.500  0.00

Output
Energy of formation ... -47.2 meV per atom
Symmetry ... P4/mmm (123)

16.
Here is a relaxed LiSiMo2P crystal from the Alexandria database. Energies are from PBE.

Unit cell a=4.569 b=3.964 c=4.569 alpha=90.00 beta=90.00 gamma=90.00
Fractional positions:
Si 0.000 0.000 0.000
Mo 0.000 0.000 0.500
Mo 0.500 0.000 0.000
P 0.500 0.500 0.500
Li 0.000 0.500 0.000

Output
Formation energy from raw total energies ... 0.89 eV per atom
Symmetry ... P4/mmm (123)

17.
Here is a relaxed LiSn2MoP crystal from the Alexandria database. Energies are from PBE.

Unit cell a=4.713 b=4.618 c=4.713 alpha=90.00 beta=90.00 gamma=90.00
Site moments in Bohr magnetons follow the coordinates.
Fractional positions:
Sn 0.000 0.000 0.500  -0.03
P 0.500 0.500 0.500  -0.06
Sn 0.500 0.000 0.000  -0.03
Li 0.000 0.000 0.000  -0.02
Mo 0.000 0.500 0.000  2.15

Output
Energy of formation ... 974.4 meV per atom
Symmetry ... P4/mmm (123)

18.
Here is a relaxed LiTmPaMo crystal from the Alexandria database. Energies are from PBE.

Unit cell a=4.916 b=4.916 c=4.916 alpha=60.00 beta=60.00 gamma=60.00
Fractional positions:
Pa 0.000 0.000 0.000
Li 0.250 0.250 0.250
Mo 0.750 0.750 0.750
Tm 0.500 0.500 0.500

Output
Energy of formation ... 200.3 meV per atom
Symmetry ... F-43m (216)

19.
Here is a relaxed LiZrPaMo crystal from the Alexandria database. Energies are from PBE.

Unit cell a=4.818 b=4.818 c=4.818 alpha=60.00 beta=60.00 gamma=60.00
Fractional positions:
Mo 0.250 0.250 0.250
Zr 0.000 0.000 0.000
Li 0.750 0.750 0.750
Pa 0.500 0.500 0.500

Output
Energy of formation ... 160.6 meV per atom
Symmetry ... F-43m (216)

20.
Here is a relaxed Li2MoPb crystal from the Alexandria database. Energies are from PBE.

Unit cell a=3.125 b=3.125 c=7.227 alpha=90.00 beta=90.00 gamma=90.00
Fractional positions:
Mo 0.000 0.000 0.473
Pb 0.500 0.500 0.757
Li 0.500 0.500 0.239
Li 0.000 0.000 0.031

Output
Energy of formation ... 404.3 meV per atom
Symmetry ... P4mm (99)